# 1
Crystalline NiBi3Te at its relaxed geometry. Source: Alexandria, functional GGA-PBEsol.

Cell: 5.7174 5.7174 5.7174 Å, 90.00 90.00 90.00°
Closest atoms and distances in Å follow each position.
Space group Pm-3m (No. 221)
Symmetry-distinct sites (fractional):
Ni (0.0000, 0.0000, 0.0000) [1 per cell]  12 Bi 4.04
Bi (0.0000, 0.5000, 0.5000) [3 per cell]  2 Te 2.86
Te (0.5000, 0.5000, 0.5000) [1 per cell]  6 Bi 2.86

Calculated values
Total moment   0.661 μB/f.u.
Formation energy (no corrections)   1394 meV/atom
Density of states at the Fermi level   9.2 states/eV/cell
DFT total energy   -15.57 eV per formula unit

---

# 2
Crystalline Ti2Ni2Bi at its relaxed geometry. Source: Alexandria, functional GGA-PBEsol.

Cell: 4.0596 4.0596 9.9769 Å, 90.00 90.00 90.00°
Closest atoms and distances in Å follow each position.
Space group I4/mmm (No. 139)
Symmetry-distinct sites (fractional):
Ti (0.0000, 0.5000, 0.2500) [4 per cell]  4 Ni 2.44
Ni (0.0000, 0.0000, 0.1144) [4 per cell]  1 Ni 2.28, 4 Ti 2.44
Bi (0.0000, 0.0000, 0.5000) [2 per cell]  8 Ni 3.09, 8 Ti 3.22

Calculated values
Total moment   0.052 μB/f.u.
ΔE_f   -0.7 eV/f.u.
Density of states at the Fermi level   10.2 states/eV/cell
DFT total energy   -33.94 eV per formula unit

---

# 3
Crystalline TlNiBi3 at its relaxed geometry. Source: Alexandria, functional GGA-PBEsol.

Cell: 5.6791 5.6791 5.6791 Å, 90.00 90.00 90.00°
Closest atoms and distances in Å follow each position.
Space group Pm-3m (No. 221)
Symmetry-distinct sites (fractional):
Tl (0.0000, 0.0000, 0.0000) [1 per cell]  6 Bi 2.84
Ni (0.5000, 0.5000, 0.5000) [1 per cell]  12 Bi 4.02
Bi (0.0000, 0.0000, 0.5000) [3 per cell]  2 Tl 2.84

Calculated values
Total moment   0.754 μB/f.u.
ΔE_f   7.3 eV/f.u.
Density of states at the Fermi level   10.4 states/eV/cell
DFT total energy   -14.36 eV per formula unit

---

# 4
Crystalline TmNiBi at its relaxed geometry. Source: Alexandria, functional GGA-PBEsol.

Cell: 6.3295 6.3295 6.3295 Å, 90.00 90.00 90.00°
Closest atoms and distances in Å follow each position.
Space group F-43m (No. 216)
Symmetry-distinct sites (fractional):
Tm (0.0000, 0.0000, 0.0000) [4 per cell]  4 Ni 2.74
Ni (0.2500, 0.2500, 0.2500) [4 per cell]  4 Bi 2.74, 4 Tm 2.74
Bi (0.0000, 0.0000, 0.5000) [4 per cell]  4 Ni 2.74

Calculated values
Total moment   0.000 μB/f.u.
ΔE_f   -2.1 eV/f.u.
Density of states at the Fermi level   0.3 states/eV/cell
DFT total energy   -17.46 eV per formula unit

---

# 5
Crystalline Y2Ni2Bi at its relaxed geometry. Source: Alexandria, functional GGA-PBEsol.

Cell: 7.4159 7.4159 3.6060 Å, 90.00 90.00 90.00°
Closest atoms and distances in Å follow each position.
Space group P4/mbm (No. 127)
Symmetry-distinct sites (fractional):
Y (0.1717, 0.3283, 0.0000) [4 per cell]  6 Ni 2.82-2.87
Ni (0.1157, 0.6157, 0.5000) [4 per cell]  1 Ni 2.43
Bi (0.0000, 0.0000, 0.5000) [2 per cell]  4 Ni 2.98, 8 Y 3.29

Calculated values
Total moment   0.000 μB/f.u.
ΔE_f   -2.7 eV/f.u.
Density of states at the Fermi level   7.1 states/eV/cell
DFT total energy   -32.99 eV per formula unit

---

# 6
Crystalline ZrNiBi at its relaxed geometry. Source: Alexandria, functional GGA-PBEsol.

Cell: 6.1978 6.1978 6.1978 Å, 90.00 90.00 90.00°
Closest atoms and distances in Å follow each position.
Space group F-43m (No. 216)
Symmetry-distinct sites (fractional):
Zr (0.0000, 0.0000, 0.0000) [4 per cell]  4 Ni 2.68
Ni (0.2500, 0.2500, 0.7500) [4 per cell]  4 Zr 2.68, 4 Bi 2.68
Bi (0.0000, 0.0000, 0.5000) [4 per cell]  4 Ni 2.68

Calculated values
Total moment   0.000 μB/f.u.
ΔE_f   -1.1 eV/f.u.
Density of states at the Fermi level   7.6 states/eV/cell
DFT total energy   -20.63 eV per formula unit

---

# 7
Crystalline Zr6NiBi2 at its relaxed geometry. Source: Alexandria, functional GGA-PBEsol.

Cell: 7.8244 7.8244 3.6561 Å, 90.00 90.00 120.00°
Closest atoms and distances in Å follow each position.
Space group P-62m (No. 189)
Symmetry-distinct sites (fractional):
Zr (0.0000, 0.3940, 0.0000) [3 per cell]  4 Bi 3.02, 1 Ni 3.08, 4 Zr 3.25
Zr (0.0000, 0.7629, 0.5000) [3 per cell]  2 Ni 2.60
Ni (0.0000, 0.0000, 0.0000) [1 per cell]  6 Zr 2.60
Bi (0.3333, 0.6667, 0.5000) [2 per cell]  9 Zr 3.02-3.06

Calculated values
Total moment   0.001 μB/f.u.
ΔE_f   -3.8 eV/f.u.
Density of states at the Fermi level   6.6 states/eV/cell
DFT total energy   -73.02 eV per formula unit

---

# 8
Crystalline Zr2Ni2Bi at its relaxed geometry. Source: Alexandria, functional GGA-PBEsol.

Cell: 6.9471 6.9471 3.6171 Å, 90.00 90.00 90.00°
Closest atoms and distances in Å follow each position.
Space group P4/mbm (No. 127)
Symmetry-distinct sites (fractional):
Zr (0.1646, 0.3354, 0.0000) [4 per cell]  6 Ni 2.71-2.76
Ni (0.1228, 0.6228, 0.5000) [4 per cell]  1 Ni 2.41
Bi (0.0000, 0.0000, 0.5000) [2 per cell]  4 Ni 2.76

Calculated values
Total moment   0.000 μB/f.u.
ΔE_f   -2.2 eV/f.u.
Density of states at the Fermi level   4.9 states/eV/cell
DFT total energy   -37.01 eV per formula unit

---

# 9
Crystalline Bi4O7 at its relaxed geometry. Source: Alexandria, functional GGA-PBEsol.

Cell: 6.7071 6.8589 7.8260 Å, 73.02 89.34 78.93°
Closest atoms and distances in Å follow each position.
Space group P-1 (No. 2)
Symmetry-distinct sites (fractional):
Bi (0.0000, 0.0000, 0.0000) [1 per cell]  6 O 2.13-2.14
Bi (0.0000, 0.0000, 0.5000) [1 per cell]  6 O 2.10-2.15
Bi (0.2634, 0.4770, 0.3837) [2 per cell]  3 O 2.22-2.26
Bi (0.2692, 0.4946, 0.8835) [2 per cell]  3 O 2.21-2.29
Bi (0.4702, 0.0022, 0.7552) [2 per cell]  5 O 2.27-2.53
O (0.0844, 0.6756, 0.5355) [2 per cell]  2 Bi 2.12-2.23
O (0.1064, 0.6774, 0.1266) [2 per cell]  2 Bi 2.13-2.22
O (0.1151, 0.9096, 0.7731) [2 per cell]  2 Bi 2.14-2.15
O (0.2861, 0.0882, 0.0157) [2 per cell]  2 Bi 2.14-2.30
O (0.2952, 0.0538, 0.4458) [2 per cell]  2 Bi 2.10-2.27
O (0.4631, 0.3704, 0.6812) [2 per cell]  3 Bi 2.26-2.41
O (0.4683, 0.3496, 0.1401) [2 per cell]  3 Bi 2.21-2.28

Calculated values
Total moment   0.000 μB/f.u.
Formation energy (no corrections)   -1147 meV/atom
DFT total energy   -66.50 eV per formula unit

---

# 10
Crystalline Bi16O25 at its relaxed geometry. Source: Alexandria, functional GGA-PBEsol.

Cell: 10.9360 10.9360 10.9891 Å, 90.00 90.00 90.00°
Closest atoms and distances in Å follow each position.
Space group I-42m (No. 121)
Symmetry-distinct sites (fractional):
Bi (0.1238, 0.1238, 0.3843) [8 per cell]  3 O 2.12-2.22
Bi (0.1280, 0.3697, 0.6382) [16 per cell]  3 O 2.14-2.26
Bi (0.1321, 0.1321, 0.8909) [8 per cell]  4 O 2.23-2.37
O (0.0000, 0.0000, 0.0000) [2 per cell]  4 Bi 2.37
O (0.0000, 0.2907, 0.0000) [8 per cell]  2 Bi 2.26
O (0.0000, 0.2965, 0.5000) [8 per cell]  2 Bi 2.22
O (0.0053, 0.2044, 0.7493) [16 per cell]  2 Bi 2.22-2.23
O (0.2430, 0.2430, 0.2882) [8 per cell]  2 Bi 2.12-2.24
O (0.2444, 0.2444, 0.5436) [8 per cell]  2 Bi 2.14

Calculated values
Total moment   0.034 μB/f.u.
Formation energy (no corrections)   -1168 meV/atom
Density of states at the Fermi level   27.2 states/eV/cell
DFT total energy   -247.70 eV per formula unit

---

# 11
Crystalline Bi19O30 at its relaxed geometry. Source: Alexandria, functional GGA-PBEsol.

Cell: 14.4130 14.4130 8.8442 Å, 90.00 90.00 120.00°
Closest atoms and distances in Å follow each position.
Space group P3 (No. 143)
Symmetry-distinct sites (fractional):
Bi (0.0000, 0.0000, 0.0000) [1 per cell]  4 O 2.04-2.05
Bi (0.0007, 0.1536, 0.6447) [3 per cell]  3 O 2.12-2.26
Bi (0.0105, 0.8355, 0.3155) [3 per cell]  3 O 2.11-2.23
Bi (0.0624, 0.7816, 0.8978) [3 per cell]  3 O 2.12-2.28
Bi (0.0679, 0.6170, 0.2421) [3 per cell]  4 O 2.11-2.36
Bi (0.1145, 0.4030, 0.4271) [3 per cell]  4 O 2.12-2.37
Bi (0.1694, 0.6523, 0.6566) [3 per cell]  3 O 2.10-2.27
Bi (0.1839, 0.5089, 0.0113) [3 per cell]  3 O 2.12-2.26
Bi (0.2672, 0.0419, 0.1060) [3 per cell]  3 O 2.11-2.24
Bi (0.3853, 0.2722, 0.5780) [3 per cell]  3 O 2.11-2.24
Bi (0.4294, 0.0568, 0.7730) [3 per cell]  3 O 2.11-2.29
Bi (0.4852, 0.3213, 0.9856) [3 per cell]  3 O 2.12-2.26
Bi (0.5147, 0.1754, 0.3160) [3 per cell]  3 O 2.10-2.25
Bi (0.6667, 0.3333, 0.6669) [1 per cell]  4 O 2.03
O (0.0000, 0.0000, 0.2311) [1 per cell]  1 Bi 2.04
O (0.0000, 0.0000, 0.5911) [1 per cell]  3 Bi 2.26
O (0.9996, 0.6235, 0.7375) [3 per cell]  1 Bi 2.11
O (0.0041, 0.3692, 0.2478) [3 per cell]  2 Bi 2.12-2.22
O (0.0374, 0.3253, 0.9201) [3 per cell]  2 Bi 2.11-2.22
O (0.0427, 0.7100, 0.4034) [3 per cell]  2 Bi 2.11-2.22
O (0.0458, 0.2047, 0.4051) [3 per cell]  2 Bi 2.11-2.23
O (0.0937, 0.5463, 0.4507) [3 per cell]  3 Bi 2.23-2.27
O (0.1108, 0.8880, 0.1066) [3 per cell]  3 Bi 2.23-2.28
O (0.1290, 0.5039, 0.7541) [3 per cell]  1 Bi 2.10
O (0.1501, 0.0762, 0.9073) [3 per cell]  1 Bi 2.05
O (0.1720, 0.7141, 0.9173) [3 per cell]  2 Bi 2.12-2.24
O (0.2092, 0.1617, 0.5871) [3 per cell]  2 Bi 2.12-2.22
O (0.2316, 0.4636, 0.2299) [3 per cell]  3 Bi 2.26-2.28
O (0.3265, 0.2894, 0.0675) [3 per cell]  2 Bi 2.12-2.22
O (0.3333, 0.6667, 0.6344) [1 per cell]  3 Bi 2.27
O (0.3333, 0.6667, 0.9961) [1 per cell]  3 Bi 2.22
O (0.3336, 0.0360, 0.5821) [3 per cell]  1 Bi 2.11
O (0.4100, 0.2049, 0.7923) [3 per cell]  3 Bi 2.24-2.29
O (0.4625, 0.1765, 0.0812) [3 per cell]  2 Bi 2.12-2.21
O (0.5014, 0.3825, 0.2481) [3 per cell]  1 Bi 2.10
O (0.5902, 0.1798, 0.5903) [3 per cell]  1 Bi 2.03
O (0.6667, 0.3333, 0.2863) [1 per cell]  3 Bi 2.25
O (0.6667, 0.3333, 0.8963) [1 per cell]  1 Bi 2.03

Calculated values
Total moment   0.002 μB/f.u.
Formation energy (no corrections)   -1154 meV/atom
Density of states at the Fermi level   31.2 states/eV/cell
DFT total energy   -295.47 eV per formula unit

---

# 12
Crystalline BiOsO2 at its relaxed geometry. Source: Alexandria, functional GGA-PBEsol.

Cell: 5.7151 5.7151 8.6047 Å, 90.00 90.00 90.00°
Closest atoms and distances in Å follow each position.
Space group I-42d (No. 122)
Symmetry-distinct sites (fractional):
Bi (0.0000, 0.0000, 0.0000) [4 per cell]  4 O 2.86
Os (0.0000, 0.0000, 0.5000) [4 per cell]  4 O 1.89
O (0.1085, 0.2500, 0.6250) [8 per cell]  2 Os 1.89

Calculated values
Total moment   0.000 μB/f.u.
Formation energy (no corrections)   69 meV/atom
Density of states at the Fermi level   12.7 states/eV/cell
DFT total energy   -26.72 eV per formula unit

---

# 13
Crystalline BiP4O12 at its relaxed geometry. Source: Alexandria, functional GGA-PBEsol.

Cell: 10.2372 11.5130 17.5099 Å, 90.00 90.00 90.00°
Closest atoms and distances in Å follow each position.
Space group C222_1 (No. 20)
Symmetry-distinct sites (fractional):
Bi (0.2152, 0.1912, 0.1462) [8 per cell]  8 O 2.25-2.51
P (0.0000, 0.3303, 0.7500) [4 per cell]  4 O 1.50-1.60
P (0.0508, 0.2684, 0.4837) [8 per cell]  4 O 1.50-1.60
P (0.1132, 0.1464, 0.3408) [8 per cell]  4 O 1.49-1.60
P (0.1690, 0.5000, 0.5000) [4 per cell]  4 O 1.50-1.59
P (0.1819, 0.4936, 0.2030) [8 per cell]  4 O 1.50-1.63
O (0.0235, 0.0971, 0.1586) [8 per cell]  1 P 1.51
O (0.0630, 0.4151, 0.8126) [8 per cell]  2 P 1.60-1.63
O (0.0673, 0.4057, 0.4711) [8 per cell]  2 P 1.59-1.60
O (0.0904, 0.2398, 0.0311) [8 per cell]  1 P 1.51
O (0.0989, 0.2553, 0.7100) [8 per cell]  1 P 1.50
O (0.1111, 0.2334, 0.5583) [8 per cell]  1 P 1.50
O (0.1367, 0.3802, 0.1696) [8 per cell]  1 P 1.50
O (0.1408, 0.2196, 0.4161) [8 per cell]  2 P 1.59-1.60
O (0.1596, 0.2182, 0.2751) [8 per cell]  1 P 1.49
O (0.2078, 0.0381, 0.3553) [8 per cell]  2 P 1.60-1.61
O (0.2239, 0.4914, 0.7156) [8 per cell]  1 P 1.50
O (0.2485, 0.0414, 0.0653) [8 per cell]  1 P 1.50

Calculated values
Total moment   0.000 μB/f.u.
Formation energy (no corrections)   -1903 meV/atom
Density of states at the Fermi level   26.4 states/eV/cell
DFT total energy   -122.79 eV per formula unit
Energy above the lowest structure with this stoichiometry   12 meV/atom

---

# 14
Crystalline BiP2O2 at its relaxed geometry. Source: Alexandria, functional GGA-PBEsol.

Cell: 8.5172 8.5172 2.7228 Å, 90.00 90.00 90.00°
Closest atoms and distances in Å follow each position.
Space group P4/mbm (No. 127)
Symmetry-distinct sites (fractional):
Bi (0.0000, 0.0000, 0.0000) [2 per cell]  2 Bi 2.72
P (0.2123, 0.2877, 0.5000) [4 per cell]  2 O 1.71
O (0.1267, 0.3733, 0.0000) [4 per cell]  2 P 1.71

Calculated values
Total moment   0.000 μB/f.u.
Formation energy (no corrections)   -332 meV/atom
Density of states at the Fermi level   4.8 states/eV/cell
DFT total energy   -28.03 eV per formula unit
Energy above the lowest structure with this stoichiometry   0 meV/atom